Material: Pr5Al2In2
Method: DFT, PBE
State: relaxed

Structure (POSCAR):
```
Pr5Al2In2
1.0
8.0465 0.0000 0.0000
0.0000 8.2642 0.0000
0.0000 -4.1321 8.3639
Al Pr In
4 10 4
direct
0.3867 0.1120 0.0000
0.8867 0.3880 0.0000
0.6133 0.8880 0.0000
0.1133 0.6120 0.0000
0.3187 0.6733 0.7312
0.8187 0.5579 0.7312
0.6813 0.3267 0.2688
0.1813 0.1733 0.7312
0.5000 0.5000 0.0000
0.8187 0.8267 0.2688
0.1813 0.4421 0.2688
0.0000 0.0000 0.0000
0.3187 0.9421 0.2688
0.6813 0.0579 0.7312
0.5000 0.2800 0.5601
0.0000 0.2200 0.4399
0.0000 0.7800 0.5601
0.5000 0.7200 0.4399
```

## Properties
The energy of formation from the pure elements is -0.32 eV per atom. Its space-group type is Cmce. The crystal system is orthorhombic. The calculation puts the total energy at -4.415 eV per atom.

Material: Sm2Tm4In
Method: DFT, PBE
State: relaxed

Structure (POSCAR):
```
Sm2Tm4In
1.0
-2.7620 -2.2044 -4.6055
5.5216 0.4835 -3.5428
4.3514 -9.0460 5.5473
Sm Tm In
4 8 2
direct
0.4220 0.2500 0.9775
0.5780 0.7500 0.0225
0.7323 0.7500 0.5745
0.2677 0.2500 0.4255
0.0058 0.2500 0.1275
0.3683 0.5063 0.7129
0.8540 0.2500 0.5637
0.9942 0.7500 0.8725
0.3683 0.9937 0.7129
0.6317 0.0063 0.2871
0.6317 0.4937 0.2871
0.1460 0.7500 0.4363
0.1411 0.7500 0.1644
0.8589 0.2500 0.8356
```

## Properties
The energy of formation from the pure elements is -0.02 eV per atom. Its space-group type is P2_1/m. The crystal system is monoclinic. The calculation puts the total energy at -4.319 eV per atom.

Material: Cd6GaAg5
Method: DFT, PBE
State: relaxed

Structure (POSCAR):
```
Cd6GaAg5
1.0
4.2422 0.0321 -1.2046
-2.8624 7.1463 -2.1346
0.0639 -0.6237 7.9641
Ag Cd Ga
5 6 1
direct
0.0000 0.3323 0.6677
0.5000 0.5000 0.5000
0.5000 0.8335 0.1665
0.5000 0.1665 0.8335
0.0000 0.6677 0.3323
0.2516 0.0842 0.4178
0.7484 0.5822 0.9158
0.7484 0.9158 0.5822
0.7565 0.2556 0.2556
0.2516 0.4178 0.0842
0.2435 0.7444 0.7444
0.0000 0.0000 0.0000
```

## Properties
The energy of formation from the pure elements is -0.02 eV per atom. Its space-group type is C2/m. The crystal system is monoclinic. The calculation puts the total energy at -1.922 eV per atom.

Material: Cu2H2Ru
Method: DFT, PBE
State: relaxed

Structure (POSCAR):
```
Cu2H2Ru
1.0
-2.3327 -3.7091 2.2139
4.3007 -2.2296 0.7960
0.3206 1.8390 3.4189
Ru Cu H
2 4 4
direct
0.0000 0.0000 0.0000
0.5000 0.5000 0.0000
0.3104 0.1896 0.5000
0.1896 0.6896 0.5000
0.8104 0.3104 0.5000
0.6896 0.8104 0.5000
0.6788 0.8212 0.0000
0.8212 0.3212 0.0000
0.1788 0.6788 0.0000
0.3212 0.1788 0.0000
```

## Properties
Its space-group type is P4/mbm. The crystal system is tetragonal. The calculation puts the total energy at -4.631 eV per atom.

Material: TcOsW3
Method: DFT, PBE
State: relaxed

Structure (POSCAR):
```
TcOsW3
1.0
4.6927 0.0000 0.0000
0.0000 4.6927 0.0000
0.0000 0.0000 4.6927
W Os Tc
3 1 1
direct
0.5000 0.0000 0.0000
0.0000 0.0000 0.5000
0.0000 0.5000 0.0000
0.0000 0.0000 0.0000
0.5000 0.5000 0.5000
```

## Properties
The energy of formation from the pure elements is 2.17 eV per atom. Its space-group type is Pm-3m. The crystal system is cubic. The calculation puts the total energy at -9.916 eV per atom.